[1]
# GGA-PBE Cr4PC, relaxed
# Energy relative to the elements (kJ/mol of formula units): -70
# Calculated volume (Å³/f.u.): 67.1
# Polymorph energy (0 for the lowest one) (meV per atom): 0
data_Cr4PC
_chemical_formula_sum 'Cr16 P4 C4'
_cell_length_a 6.459
_cell_length_b 10.295
_cell_length_c 4.976
_cell_angle_alpha 90.00
_cell_angle_beta 125.84
_cell_angle_gamma 90.00
_symmetry_space_group_name_H-M 'C 1 2/c 1'
_symmetry_Int_Tables_number 15
loop_
_symmetry_equiv_pos_as_xyz
'x,y,z'
'-x,-y,-z'
'-x,y,-z+1/2'
'x,-y,z+1/2'
'x+1/2,y+1/2,z'
'-x+1/2,-y+1/2,-z'
'-x+1/2,y+1/2,-z+1/2'
'x+1/2,-y+1/2,z+1/2'
loop_
_atom_site_label
_atom_site_fract_x
_atom_site_fract_y
_atom_site_fract_z
Cr1 0.144 0.215 0.177
Cr2 0.247 0.045 0.715
P1 0.000 0.370 0.750
C1 0.000 0.056 0.250

---

[2]
# GGA-PBE Na2GeTe3, relaxed
# Calculated volume (Å³/f.u.): 206.9
# Polymorph energy (0 for the lowest one) (meV per atom): 0
# Energy relative to the elements, uncorrected (eV per atom): -0.430
data_Na2GeTe3
_chemical_formula_sum 'Na8 Ge4 Te12'
_cell_length_a 13.077
_cell_length_b 7.461
_cell_length_c 8.869
_cell_angle_alpha 90.00
_cell_angle_beta 107.01
_cell_angle_gamma 90.00
_symmetry_space_group_name_H-M 'C 1 2/c 1'
_symmetry_Int_Tables_number 15
loop_
_symmetry_equiv_pos_as_xyz
'x,y,z'
'-x,-y,-z'
'-x,y,-z+1/2'
'x,-y,z+1/2'
'x+1/2,y+1/2,z'
'-x+1/2,-y+1/2,-z'
'-x+1/2,y+1/2,-z+1/2'
'x+1/2,-y+1/2,z+1/2'
loop_
_atom_site_label
_atom_site_fract_x
_atom_site_fract_y
_atom_site_fract_z
Na1 0.154 0.179 0.116
Ge1 0.000 0.407 0.750
Te1 0.000 0.070 0.750
Te2 0.157 0.427 0.431

---

[3]
# GGA-PBE Cs2AgF5, relaxed
# Calculated volume (Å³/f.u.): 190.8
# Energy relative to the elements, uncorrected (eV per atom): -1.928
data_Cs2AgF5
_chemical_formula_sum 'Cs4 Ag2 F10'
_cell_length_a 6.460
_cell_length_b 6.460
_cell_length_c 9.142
_cell_angle_alpha 90.00
_cell_angle_beta 90.00
_cell_angle_gamma 90.00
_symmetry_space_group_name_H-M 'I 4 m m'
_symmetry_Int_Tables_number 107
_symmetry_space_group_name_Hall 'I 4 -2'
loop_
_atom_site_label
_atom_site_fract_x
_atom_site_fract_y
_atom_site_fract_z
Cs1 0.000 0.500 0.000
Ag1 0.000 0.000 0.252
F1 0.000 0.000 0.507
F2 0.217 0.217 0.239

---

[4]
# GGA-PBE ThCoNi2, relaxed
# Energy relative to the elements (kJ/mol of formula units): -61
# Calculated volume (Å³/f.u.): 67.4
data_ThCoNi2
_chemical_formula_sum 'Th4 Co4 Ni8'
_cell_length_a 4.998
_cell_length_b 4.707
_cell_length_c 11.455
_cell_angle_alpha 90.00
_cell_angle_beta 90.00
_cell_angle_gamma 90.00
_symmetry_space_group_name_H-M 'P m m a'
_symmetry_Int_Tables_number 51
loop_
_symmetry_equiv_pos_as_xyz
'x,y,z'
'-x,-y,-z'
'-x+1/2,-y,z'
'x+1/2,y,-z'
'x+1/2,-y,-z'
'-x+1/2,y,z'
'-x,y,-z'
'x,-y,z'
loop_
_atom_site_label
_atom_site_fract_x
_atom_site_fract_y
_atom_site_fract_z
Th1 0.250 0.000 0.112
Th2 0.250 0.500 0.382
Co1 0.250 0.000 0.672
Co2 0.250 0.500 0.650
Ni1 0.000 0.000 0.500
Ni2 0.000 0.500 0.000
Ni3 0.250 0.256 0.845

---

[5]
# GGA-PBE HoAlCuRh, relaxed
# Energy relative to the elements (kJ/mol of formula units): -217
# Calculated volume (Å³/f.u.): 67.7
data_HoAlCuRh
_chemical_formula_sum 'Ho4 Al4 Cu4 Rh4'
_cell_length_a 6.471
_cell_length_b 6.471
_cell_length_c 6.471
_cell_angle_alpha 90.00
_cell_angle_beta 90.00
_cell_angle_gamma 90.00
_symmetry_space_group_name_H-M 'F -4 3 m'
_symmetry_Int_Tables_number 216
_symmetry_space_group_name_Hall 'F -4 2 3'
loop_
_atom_site_label
_atom_site_fract_x
_atom_site_fract_y
_atom_site_fract_z
Ho1 0.000 0.000 0.000
Al1 0.000 0.000 0.500
Cu1 0.250 0.250 0.750
Rh1 0.250 0.250 0.250

---

[6]
# GGA-PBE Pr2NdPaRu2, relaxed
# Energy relative to the elements (kJ/mol of formula units): -147
# Calculated volume (Å³/f.u.): 167.7
data_Pr2NdPaRu2
_chemical_formula_sum 'Pr8 Nd4 Pa4 Ru8'
_cell_length_a 7.164
_cell_length_b 13.560
_cell_length_c 6.906
_cell_angle_alpha 90.00
_cell_angle_beta 90.00
_cell_angle_gamma 90.00
_symmetry_space_group_name_H-M 'I b a m'
_symmetry_Int_Tables_number 72
_symmetry_space_group_name_Hall '-I 2 2c'
loop_
_atom_site_label
_atom_site_fract_x
_atom_site_fract_y
_atom_site_fract_z
Pr1 0.210 0.196 0.000
Nd1 0.000 0.500 0.250
Pa1 0.000 0.000 0.250
Ru1 0.205 0.093 0.500

---

[7]
# GGA-PBE Zr2PI, relaxed
# Calculated volume (Å³/f.u.): 116.0
# Energy relative to the elements, uncorrected (eV per atom): -0.125
data_Zr2PI
_chemical_formula_sum 'Zr8 P4 I4'
_cell_length_a 5.622
_cell_length_b 5.622
_cell_length_c 14.682
_cell_angle_alpha 90.00
_cell_angle_beta 90.00
_cell_angle_gamma 90.00
_symmetry_space_group_name_H-M 'I -4 2 d'
_symmetry_Int_Tables_number 122
_symmetry_space_group_name_Hall 'I -4 2bw'
loop_
_atom_site_label
_atom_site_fract_x
_atom_site_fract_y
_atom_site_fract_z
Zr1 0.172 0.250 0.125
P1 0.000 0.000 0.000
I1 0.000 0.000 0.500

---

[8]
# GGA-PBE KCe4Te5, relaxed
# Calculated volume (Å³/f.u.): 338.2
# Energy relative to the elements, uncorrected (eV per atom): -1.322
data_KCe4Te5
_chemical_formula_sum 'K2 Ce8 Te10'
_cell_length_a 4.498
_cell_length_b 6.455
_cell_length_c 23.297
_cell_angle_alpha 90.00
_cell_angle_beta 90.00
_cell_angle_gamma 90.00
_symmetry_space_group_name_H-M 'I m m m'
_symmetry_Int_Tables_number 71
_symmetry_space_group_name_Hall '-I 2 2'
loop_
_atom_site_label
_atom_site_fract_x
_atom_site_fract_y
_atom_site_fract_z
K1 0.000 0.000 0.000
Ce1 0.000 0.000 0.205
Ce2 0.000 0.000 0.399
Te1 0.000 0.500 0.000
Te2 0.000 0.500 0.198
Te3 0.000 0.500 0.391

---

[9]
# GGA-PBE NaCd6In12, relaxed
# Energy relative to the elements (kJ/mol of formula units): 81
# Calculated volume (Å³/f.u.): 502.8
# Polymorph energy (0 for the lowest one) (meV per atom): 22
data_NaCd6In12
_chemical_formula_sum 'Na3 Cd18 In36'
_cell_length_a 11.0280
_cell_length_b 11.0280
_cell_length_c 14.3225
_cell_angle_alpha 90.00
_cell_angle_beta 90.00
_cell_angle_gamma 120.00
_symmetry_space_group_name_H-M 'R -3'
_symmetry_Int_Tables_number 148
_symmetry_space_group_name_Hall '-R 3'
loop_
_atom_site_label
_atom_site_fract_x
_atom_site_fract_y
_atom_site_fract_z
Na1 0.0000 0.0000 0.0000
Cd1 0.0259 0.5870 0.7014
In1 0.0280 0.8409 0.8128
In2 0.0632 0.2063 0.4099

---

[10]
# GGA-PBE ZnSnSeBr2, relaxed
# Calculated volume (Å³/f.u.): 133.3
# Polymorph energy (0 for the lowest one) (meV per atom): 0
# Energy relative to the elements, uncorrected (eV per atom): -0.278
data_ZnSnSeBr2
_chemical_formula_sum 'Zn1 Sn1 Se1 Br2'
_cell_length_a 5.045
_cell_length_b 5.045
_cell_length_c 5.238
_cell_angle_alpha 90.00
_cell_angle_beta 90.00
_cell_angle_gamma 90.00
_symmetry_space_group_name_H-M 'P 4/m m m'
_symmetry_Int_Tables_number 123
_symmetry_space_group_name_Hall '-P 4 2'
loop_
_atom_site_label
_atom_site_fract_x
_atom_site_fract_y
_atom_site_fract_z
Zn1 0.000 0.000 0.000
Sn1 0.500 0.500 0.500
Se1 0.000 0.000 0.500
Br1 0.000 0.500 0.000

---

[11]
# GGA-PBE Cd5Pd2RhAu2, relaxed
# Energy relative to the elements (kJ/mol of formula units): -133
# Calculated volume (Å³/f.u.): 195.5
data_Cd5Pd2RhAu2
_chemical_formula_sum 'Cd10 Pd4 Rh2 Au4'
_cell_length_a 10.396
_cell_length_b 10.396
_cell_length_c 3.618
_cell_angle_alpha 90.00
_cell_angle_beta 90.00
_cell_angle_gamma 90.00
_symmetry_space_group_name_H-M 'P 4/m b m'
_symmetry_Int_Tables_number 127
_symmetry_space_group_name_Hall '-P 4 2ab'
loop_
_atom_site_label
_atom_site_fract_x
_atom_site_fract_y
_atom_site_fract_z
Cd1 0.000 0.500 0.000
Cd2 0.125 0.160 0.000
Pd1 0.140 0.360 0.500
Rh1 0.000 0.000 0.500
Au1 0.153 0.653 0.500

---

[12]
# GGA-PBE Be7Hg, relaxed
# Energy relative to the elements (kJ/mol of formula units): 295
# Calculated volume (Å³/f.u.): 81.2
data_Be7Hg
_chemical_formula_sum 'Be28 Hg4'
_cell_length_a 6.873
_cell_length_b 6.873
_cell_length_c 6.873
_cell_angle_alpha 90.00
_cell_angle_beta 90.00
_cell_angle_gamma 90.00
_symmetry_space_group_name_H-M 'F m -3 m'
_symmetry_Int_Tables_number 225
_symmetry_space_group_name_Hall '-F 4 2 3'
loop_
_atom_site_label
_atom_site_fract_x
_atom_site_fract_y
_atom_site_fract_z
Be1 0.000 0.000 0.000
Be2 0.000 0.250 0.250
Hg1 0.000 0.000 0.500

---

[13]
# GGA-PBE LaBrCl, relaxed
# Calculated volume (Å³/f.u.): 96.6
# Energy relative to the elements, uncorrected (eV per atom): -1.946
data_LaBrCl
_chemical_formula_sum 'La2 Br2 Cl2'
_cell_length_a 5.171
_cell_length_b 5.173
_cell_length_c 7.644
_cell_angle_alpha 90.00
_cell_angle_beta 109.14
_cell_angle_gamma 90.00
_symmetry_space_group_name_H-M 'P 1 21/m 1'
_symmetry_Int_Tables_number 11
loop_
_symmetry_equiv_pos_as_xyz
'x,y,z'
'-x,-y,-z'
'-x,y+1/2,-z'
'x,-y+1/2,z'
loop_
_atom_site_label
_atom_site_fract_x
_atom_site_fract_y
_atom_site_fract_z
La1 0.250 0.250 0.000
Br1 0.127 0.750 0.747
Cl1 0.354 0.750 0.214

---

[14]
# GGA-PBE ScCdB3, relaxed
# Energy relative to the elements (kJ/mol of formula units): 863
# Calculated volume (Å³/f.u.): 79.2
# Polymorph energy (0 for the lowest one) (meV per atom): 0
data_ScCdB3
_chemical_formula_sum 'Sc1 Cd1 B3'
_cell_length_a 4.294
_cell_length_b 4.294
_cell_length_c 4.294
_cell_angle_alpha 90.00
_cell_angle_beta 90.00
_cell_angle_gamma 90.00
_symmetry_space_group_name_H-M 'P m -3 m'
_symmetry_Int_Tables_number 221
_symmetry_space_group_name_Hall '-P 4 2 3'
loop_
_atom_site_label
_atom_site_fract_x
_atom_site_fract_y
_atom_site_fract_z
Sc1 0.000 0.000 0.000
Cd1 0.500 0.500 0.500
B1 0.000 0.500 0.500

---

[15]
# GGA-PBE CdTc2PdO8, relaxed
# Calculated volume (Å³/f.u.): 180.0
# Energy relative to the elements, uncorrected (eV per atom): -1.016
data_CdTc2PdO8
_chemical_formula_sum 'Cd2 Tc4 Pd2 O16'
_cell_length_a 7.044
_cell_length_b 7.044
_cell_length_c 7.256
_cell_angle_alpha 90.00
_cell_angle_beta 90.00
_cell_angle_gamma 90.00
_symmetry_space_group_name_H-M 'I -4 m 2'
_symmetry_Int_Tables_number 119
_symmetry_space_group_name_Hall 'I -4 -2'
loop_
_atom_site_label
_atom_site_fract_x
_atom_site_fract_y
_atom_site_fract_z
Cd1 0.000 0.000 0.000
Tc1 0.000 0.000 0.500
Tc2 0.000 0.500 0.750
Pd1 0.000 0.500 0.250
O1 0.000 0.203 0.354
O2 0.000 0.298 0.892

---

[16]
# GGA-PBE InFe4, relaxed
# Energy relative to the elements (kJ/mol of formula units): 84
# Calculated volume (Å³/f.u.): 67.1
data_InFe4
_chemical_formula_sum 'In2 Fe8'
_cell_length_a 5.785
_cell_length_b 5.785
_cell_length_c 4.010
_cell_angle_alpha 90.00
_cell_angle_beta 90.00
_cell_angle_gamma 90.00
_symmetry_space_group_name_H-M 'I 4/m'
_symmetry_Int_Tables_number 87
_symmetry_space_group_name_Hall '-I 4'
loop_
_atom_site_label
_atom_site_fract_x
_atom_site_fract_y
_atom_site_fract_z
In1 0.000 0.000 0.000
Fe1 0.080 0.306 0.500

---

[17]
# GGA-PBE MnSi2Pb, relaxed
# Calculated volume (Å³/f.u.): 81.9
# Energy relative to the elements, uncorrected (eV per atom): 0.363
data_MnSi2Pb
_chemical_formula_sum 'Mn1 Si2 Pb1'
_cell_length_a 3.744
_cell_length_b 4.296
_cell_length_c 5.164
_cell_angle_alpha 90.00
_cell_angle_beta 99.67
_cell_angle_gamma 90.00
_symmetry_space_group_name_H-M 'P 1 2/m 1'
_symmetry_Int_Tables_number 10
loop_
_symmetry_equiv_pos_as_xyz
'x,y,z'
'-x,-y,-z'
'-x,y,-z'
'x,-y,z'
loop_
_atom_site_label
_atom_site_fract_x
_atom_site_fract_y
_atom_site_fract_z
Mn1 0.000 0.000 0.000
Si1 0.215 0.500 0.851
Pb1 0.500 0.000 0.500

---

[18]
# GGA-PBE ZnTcPb2, relaxed
# Energy relative to the elements (kJ/mol of formula units): 263
# Calculated volume (Å³/f.u.): 85.9
data_ZnTcPb2
_chemical_formula_sum 'Zn1 Tc1 Pb2'
_cell_length_a 3.563
_cell_length_b 4.466
_cell_length_c 5.400
_cell_angle_alpha 90.00
_cell_angle_beta 90.00
_cell_angle_gamma 90.00
_symmetry_space_group_name_H-M 'P m m m'
_symmetry_Int_Tables_number 47
loop_
_symmetry_equiv_pos_as_xyz
'x,y,z'
'-x,-y,-z'
'-x,-y,z'
'x,y,-z'
'x,-y,-z'
'-x,y,z'
'-x,y,-z'
'x,-y,z'
loop_
_atom_site_label
_atom_site_fract_x
_atom_site_fract_y
_atom_site_fract_z
Zn1 0.000 0.000 0.000
Tc1 0.500 0.000 0.500
Pb1 0.000 0.500 0.500
Pb2 0.500 0.500 0.000

---

[19]
# GGA-PBE LiIrPt3, relaxed
# Energy relative to the elements (kJ/mol of formula units): 326
# Calculated volume (Å³/f.u.): 73.5
# Polymorph energy (0 for the lowest one) (meV per atom): 0
data_LiIrPt3
_chemical_formula_sum 'Li1 Ir1 Pt3'
_cell_length_a 4.189
_cell_length_b 4.189
_cell_length_c 4.189
_cell_angle_alpha 90.00
_cell_angle_beta 90.00
_cell_angle_gamma 90.00
_symmetry_space_group_name_H-M 'P m -3 m'
_symmetry_Int_Tables_number 221
_symmetry_space_group_name_Hall '-P 4 2 3'
loop_
_atom_site_label
_atom_site_fract_x
_atom_site_fract_y
_atom_site_fract_z
Li1 0.000 0.000 0.000
Ir1 0.500 0.500 0.500
Pt1 0.000 0.000 0.500

---

[20]
# GGA-PBE Y4AlBi, relaxed
# Energy relative to the elements (kJ/mol of formula units): -244
# Calculated volume (Å³/f.u.): 175.3
data_Y4AlBi
_chemical_formula_sum 'Y64 Al16 Bi16'
_cell_length_a 14.103
_cell_length_b 14.103
_cell_length_c 14.103
_cell_angle_alpha 90.00
_cell_angle_beta 90.00
_cell_angle_gamma 90.00
_symmetry_space_group_name_H-M 'F -4 3 m'
_symmetry_Int_Tables_number 216
_symmetry_space_group_name_Hall 'F -4 2 3'
loop_
_atom_site_label
_atom_site_fract_x
_atom_site_fract_y
_atom_site_fract_z
Y1 0.000 0.000 0.186
Y2 0.056 0.250 0.750
Y3 0.130 0.130 0.370
Al1 0.153 0.153 0.153
Bi1 0.097 0.097 0.597